Record 1
DFT (SCAN) results for GaNiSb2Cl at its PBEsol-relaxed geometry.

The structure in POSCAR format:
```
GaNiSb2Cl
1.0
4.9542 0.0000 0.0000
0.0000 4.9542 0.0000
0.0000 0.0000 4.5523
Ga Ni Sb Cl
1 1 2 1
Direct
0.0000 0.0000 0.0000
0.0000 0.0000 0.5000
0.0000 0.5000 0.5000
0.5000 0.0000 0.5000
0.5000 0.5000 0.0000
```

Output
The space group is P4/mmm, No. 123. Its formation energy (no corrections) is 0.0492 eV per atom. The calculation puts the volume at 111.7 Å³ per cell.


Record 2
DFT (SCAN) results for GaClO2 at its PBEsol-relaxed geometry.

The structure in POSCAR format:
```
GaClO2
1.0
-2.6753 2.6753 4.1545
2.6753 -2.6753 4.1545
2.6753 2.6753 -4.1545
Ga Cl O
2 2 4
Direct
0.0000 0.0000 0.0000
0.7500 0.2500 0.5000
0.2500 0.7500 0.5000
0.5000 0.5000 0.0000
0.0096 0.6250 0.8846
0.3750 0.2596 0.3846
0.7404 0.1250 0.1154
0.8750 0.9904 0.6154
```

Output
The space group is I-42d, No. 122. Its formation energy (no corrections) is -0.6656 eV per atom. The calculation puts the volume at 118.9 Å³ per cell.


Record 3
DFT (SCAN) results for GaOsClO2 at its PBEsol-relaxed geometry.

The structure in POSCAR format:
```
GaOsClO2
1.0
3.8201 0.0000 0.0000
0.0000 3.8201 0.0000
0.0000 0.0000 5.2741
Ga Os Cl O
1 1 1 2
Direct
0.0000 0.0000 0.0000
0.5000 0.5000 0.5000
0.5000 0.5000 0.0000
0.0000 0.5000 0.5000
0.5000 0.0000 0.5000
```

Output
The space group is P4/mmm, No. 123. Its formation energy (no corrections) is -0.4511 eV per atom. The calculation puts the volume at 77.0 Å³ per cell.


Record 4
DFT (SCAN) results for GaReCl6O2 at its PBEsol-relaxed geometry.

The structure in POSCAR format:
```
GaReCl6O2
1.0
11.9453 0.0000 0.0000
0.0000 8.4136 0.0000
-3.6920 0.0000 10.5023
Ga Re Cl O
4 4 24 8
Direct
0.2467 0.1461 0.1248
0.2467 0.3539 0.6248
0.7533 0.6461 0.3752
0.7533 0.8539 0.8752
0.2564 0.7190 0.1254
0.2564 0.7810 0.6254
0.7436 0.2190 0.3746
0.7436 0.2810 0.8746
0.0941 0.7371 0.6809
0.0941 0.7629 0.1809
0.1141 0.2177 0.6672
0.1141 0.2823 0.1672
0.1625 0.5361 0.4730
0.1625 0.9639 0.9730
0.3305 0.5323 0.7800
0.3305 0.9677 0.2800
0.3808 0.2259 0.5784
0.3808 0.2741 0.0784
0.4140 0.7069 0.5705
0.4140 0.7931 0.0705
0.5860 0.2069 0.9295
0.5860 0.2931 0.4295
0.6192 0.7259 0.9216
0.6192 0.7741 0.4216
0.6695 0.0323 0.7200
0.6695 0.4677 0.2200
0.8375 0.0361 0.0270
0.8375 0.4639 0.5270
0.8859 0.7177 0.8328
0.8859 0.7823 0.3328
0.9059 0.2371 0.8191
0.9059 0.2629 0.3191
0.1926 0.5955 0.0002
0.1926 0.9045 0.5002
0.3293 0.5972 0.2488
0.3293 0.9028 0.7488
0.6707 0.0972 0.2512
0.6707 0.4028 0.7512
0.8074 0.0955 0.4998
0.8074 0.4045 0.9998
```

Output
The space group is P2_1/c, No. 14. Its formation energy (no corrections) is -1.0861 eV per atom. The calculation puts the volume at 1055.5 Å³ per cell.